1.
Below is crystalline NaCeTlS3 at its relaxed geometry, with properties calculated at the PBE level.

```
12
Lattice="-0.973 -2.565 3.099 -4.144 -6.199 -6.432 6.962 -3.324 -0.566" Properties=species:S:1:pos:R:3 pbc="T T T"
Tl 0.378 -7.901 -2.276
Na 1.065 -2.862 2.111
S -1.596 -5.781 -1.141
S 3.441 -6.307 -2.758
S -1.062 -7.044 -4.782
Ce -2.552 -5.150 -3.682
S 2.907 -5.044 0.883
Ce 4.397 -6.938 -0.216
S 2.358 -10.126 -3.496
Tl 1.468 -4.187 -1.623
Na 0.781 -9.226 -6.009
S -0.513 -1.962 -0.403
```

Results
Formation energy without anion corrections in eV/atom: -1.298
Space group: P2_1/m, No. 11


2.
Below is crystalline Th7In2Tc2 at its relaxed geometry, with properties calculated at the PBE level.

```
11
Lattice="6.992 -0.002 -0.779 0.002 7.040 0.004 -1.213 -0.004 6.930" Properties=species:S:1:pos:R:3 pbc="T T T"
Th -0.606 1.810 3.466
In 0.958 3.519 1.021
Th 3.498 5.228 -0.386
Th 0.000 0.000 0.000
Tc 1.129 7.037 4.735
Th 2.891 5.256 3.078
Tc 4.652 -0.002 1.419
Th 6.386 5.225 2.688
In 4.822 3.516 5.134
Th 2.890 1.778 3.076
Th 2.283 1.807 6.541
```

Results
ΔH_f (0 K) in meV/atom: -28
ΔE to the lowest computed polymorph in meV per atom: 114
Space group: Cmmm, No. 65